(1)
! TaAgSe2 | the Alexandria database | PBE | relaxed; values from VASP
! Magnetization: 0.00 μB per cell
! Energy: -5.48 eV per atom
&SYSTEM
  ibrav = 0, nat = 4, ntyp = 3
/
ATOMIC_SPECIES
Ta 180.95 Ta.upf
Ag 107.87 Ag.upf
Se 78.96 Se.upf
CELL_PARAMETERS angstrom
3.702 0.000 0.000
0.000 3.696 0.000
-1.827 0.000 7.216
ATOMIC_POSITIONS angstrom
Ta 0.000 0.000 0.000
Ag 0.024 1.848 5.822
Se 0.000 1.848 1.670
Se 1.873 0.000 4.744



(2)
! SrScFe2Ru | the Alexandria database | PBE | relaxed; values from VASP
! Magnetization: 5.83 μB per cell
! Formation enthalpy at 0 K: 0.499 eV per atom
&SYSTEM
  ibrav = 0, nat = 5, ntyp = 4
/
ATOMIC_SPECIES
Sr 87.62 Sr.upf
Sc 44.96 Sc.upf
Fe 55.84 Fe.upf
Ru 101.07 Ru.upf
CELL_PARAMETERS angstrom
4.873 0.000 0.000
0.000 4.873 0.000
0.000 0.000 4.798
ATOMIC_POSITIONS angstrom
Sr 0.000 0.000 0.000
Sc 2.437 2.437 0.000
Fe 0.000 2.437 2.399
Fe 2.437 0.000 2.399
Ru 2.437 2.437 2.399



Question: Which value of magnetization does entry 1 give?
Answer: 0.00 μB per cell



Question: The lowest magnetization belongs to which entry?
Answer: TaAgSe2



Question: Which formula does entry 1 have?
Answer: TaAgSe2



Question: Which of these has the highest magnetization?
Answer: SrScFe2Ru